Crystalline Na3CaPd at its relaxed geometry, computed with PBE.

Output
As for the excess energy over the best structure of this formula in the dataset: 846 meV/atom. The calculation puts the magnetization at 0.000 μB/f.u. Its energy of formation from the pure elements is 0.972 eV/atom.

Cell lengths 6.0745, 6.0745, 6.0745 Å; angles 90.00, 90.00, 90.00 degrees
With the nearest neighbours (Å) after each atom.
Positions (direct):
Na: 0.0000 0.0000 0.5000  2 Ca 3.04
Na: 0.0000 0.5000 0.0000  2 Ca 3.04
Na: 0.5000 0.0000 0.0000  2 Ca 3.04
Ca: 0.0000 0.0000 0.0000  6 Na 3.04
Pd: 0.5000 0.5000 0.5000  12 Na 4.30

Crystalline NaCaPd3 at its relaxed geometry, computed with PBE.

Output
As for the excess energy over the best structure of this formula in the dataset: 0 meV/atom. The calculation puts the magnetization at 0.000 μB/f.u. Its energy of formation from the pure elements is 0.251 eV/atom.

Cell lengths 4.7601, 4.7601, 4.7601 Å; angles 90.00, 90.00, 90.00 degrees
With the nearest neighbours (Å) after each atom.
Positions (direct):
Na: 0.0000 0.0000 0.0000  6 Pd 2.38
Ca: 0.5000 0.5000 0.5000  12 Pd 3.37
Pd: 0.0000 0.0000 0.5000  2 Na 2.38
Pd: 0.0000 0.5000 0.0000  2 Na 2.38
Pd: 0.5000 0.0000 0.0000  2 Na 2.38

Crystalline NaCa3Pd8 at its relaxed geometry, computed with PBE.

Output
The calculation puts the magnetization at 0.000 μB/f.u. Its energy of formation from the pure elements is -0.593 eV/atom.

Cell lengths 9.4321, 9.4321, 9.4321 Å; angles 33.57, 33.57, 33.57 degrees
With the nearest neighbours (Å) after each atom.
Positions (direct):
Na: 0.0000 0.0000 0.0000  12 Pd 3.17-3.22, 4 Ca 3.25-3.29
Ca: 0.1219 0.1219 0.1219  12 Pd 3.12-3.29, 1 Na 3.25, 3 Ca 3.39
Ca: 0.5024 0.5024 0.5024  12 Pd 3.17-3.20, 4 Ca 3.39-3.42
Ca: 0.6305 0.6305 0.6305  12 Pd 3.12-3.26, 3 Na 3.29, 1 Ca 3.42
Pd: 0.0640 0.0640 0.5624  6 Pd 2.71-2.73
Pd: 0.0640 0.5624 0.0640  6 Pd 2.71-2.73
Pd: 0.0659 0.5639 0.5639  6 Pd 2.71-2.73
Pd: 0.3140 0.3140 0.3140  6 Pd 2.73
Pd: 0.5624 0.0640 0.0640  6 Pd 2.71-2.73
Pd: 0.5639 0.0659 0.5639  6 Pd 2.71-2.73
Pd: 0.5639 0.5639 0.0659  6 Pd 2.71-2.73
Pd: 0.8140 0.8140 0.8140  6 Pd 2.71

Crystalline NaCaPd10 at its relaxed geometry, computed with PBE.

Output
The calculation puts the magnetization at 0.001 μB/f.u. Its energy of formation from the pure elements is -0.168 eV/atom.

Cell lengths 4.4704, 5.3359, 9.2175 Å; angles 90.00, 90.00, 90.00 degrees
With the nearest neighbours (Å) after each atom.
Positions (direct):
Na: 0.0000 0.0000 0.0000  6 Pd 3.06-3.08
Ca: 0.0000 0.5000 0.5000  6 Pd 3.07-3.08
Pd: 0.0000 0.0000 0.3322  6 Pd 2.71-2.72
Pd: 0.0000 0.0000 0.6678  6 Pd 2.71-2.72
Pd: 0.0000 0.5000 0.1664  6 Pd 2.71
Pd: 0.0000 0.5000 0.8336  6 Pd 2.71
Pd: 0.5000 0.0000 0.5000  8 Pd 2.66-2.72
Pd: 0.5000 0.2505 0.2506  8 Pd 2.66-2.71
Pd: 0.5000 0.2505 0.7494  8 Pd 2.66-2.71
Pd: 0.5000 0.5000 0.0000  8 Pd 2.67-2.71
Pd: 0.5000 0.7495 0.2506  8 Pd 2.66-2.71
Pd: 0.5000 0.7495 0.7494  8 Pd 2.66-2.71

Crystalline NaCa4Pd2 at its relaxed geometry, computed with PBE.

Output
The calculation puts the magnetization at 0.000 μB/f.u. Its energy of formation from the pure elements is -0.369 eV/atom.

Cell lengths 7.7744, 7.9117, 8.2054 Å; angles 80.87, 62.71, 74.87 degrees
With the nearest neighbours (Å) after each atom.
Positions (direct):
Na: 0.0000 0.0000 0.0000  1 Pd 3.05, 1 Ca 3.36
Na: 0.4744 0.9786 0.0410  1 Pd 2.80
Ca: 0.0126 0.1445 0.3797  4 Pd 2.90-3.13
Ca: 0.2556 0.3314 0.8189  4 Pd 2.98-3.17
Ca: 0.4342 0.6037 0.2902  3 Pd 2.94-2.97
Ca: 0.4518 0.7559 0.7058  2 Pd 2.96
Ca: 0.5290 0.1505 0.3711  4 Pd 2.89-3.12
Ca: 0.7448 0.3214 0.8240  4 Pd 2.94-3.14
Ca: 0.9243 0.7289 0.7414  2 Pd 2.98-3.01
Ca: 0.9352 0.6230 0.2885  3 Pd 2.96-2.97
Pd: 0.1217 0.4096 0.5214  7 Ca 2.94-3.10
Pd: 0.6298 0.4187 0.5212  7 Ca 2.94-3.04, 2 Pd 2.94-3.01
Pd: 0.6538 0.0418 0.6600  1 Na 2.80, 4 Ca 2.89-3.01, 1 Pd 3.01
Pd: 0.8372 0.3768 0.1218  1 Pd 2.94, 6 Ca 2.97-3.13, 1 Na 3.05

Crystalline Na2Ca2Pd15 at its relaxed geometry, computed with PBE.

Output
The calculation puts the magnetization at 0.000 μB/f.u. Its energy of formation from the pure elements is -0.269 eV/atom.

Cell lengths 7.0168, 7.0168, 7.0168 Å; angles 82.70, 82.70, 82.70 degrees
With the nearest neighbours (Å) after each atom.
Positions (direct):
Na: 0.0950 0.0950 0.0950  1 Na 2.59, 3 Pd 2.85
Na: 0.9050 0.9050 0.9050  1 Na 2.59, 3 Pd 2.85
Ca: 0.3505 0.3505 0.3505  12 Pd 3.16-3.38, 1 Na 3.48
Ca: 0.6495 0.6495 0.6495  12 Pd 3.16-3.38, 1 Na 3.48
Pd: 0.0000 0.0000 0.5000  8 Pd 2.70-2.71, 2 Na 2.85
Pd: 0.0000 0.3207 0.6793  8 Pd 2.71-2.97
Pd: 0.0000 0.5000 0.0000  8 Pd 2.70-2.71, 2 Na 2.85
Pd: 0.0000 0.6793 0.3207  8 Pd 2.71-2.97
Pd: 0.1659 0.6584 0.6584  8 Pd 2.64-2.78, 1 Na 2.91
Pd: 0.3207 0.0000 0.6793  8 Pd 2.71-2.97
Pd: 0.3207 0.6793 0.0000  8 Pd 2.71-2.97
Pd: 0.3416 0.3416 0.8341  8 Pd 2.64-2.78, 1 Na 2.91
Pd: 0.3416 0.8341 0.3416  8 Pd 2.64-2.78, 1 Na 2.91
Pd: 0.5000 0.0000 0.0000  8 Pd 2.70-2.71, 2 Na 2.85
Pd: 0.6584 0.1659 0.6584  8 Pd 2.64-2.78, 1 Na 2.91
Pd: 0.6584 0.6584 0.1659  8 Pd 2.64-2.78, 1 Na 2.91
Pd: 0.6793 0.0000 0.3207  8 Pd 2.71-2.97
Pd: 0.6793 0.3207 0.0000  8 Pd 2.71-2.97
Pd: 0.8341 0.3416 0.3416  8 Pd 2.64-2.78, 1 Na 2.91

Crystalline Na2CaPd2 at its relaxed geometry, computed with PBE.

Output
As for the excess energy over the best structure of this formula in the dataset: 67 meV/atom. The calculation puts the magnetization at 0.000 μB/f.u. Its energy of formation from the pure elements is -0.144 eV/atom.

Cell lengths 8.1965, 8.1965, 3.1712 Å; angles 90.00, 90.00, 90.00 degrees
With the nearest neighbours (Å) after each atom.
Positions (direct):
Na: 0.1149 0.3851 0.0000  1 Na 2.66, 2 Pd 2.80
Na: 0.3851 0.8851 0.0000  1 Na 2.66, 2 Pd 2.80
Na: 0.6149 0.1149 0.0000  1 Na 2.66, 2 Pd 2.80
Na: 0.8851 0.6149 0.0000  1 Na 2.66, 2 Pd 2.80
Ca: 0.0000 0.0000 0.0000  2 Ca 3.17, 4 Na 3.29, 8 Pd 3.39
Ca: 0.5000 0.5000 0.0000  2 Ca 3.17, 4 Na 3.29, 8 Pd 3.39
Pd: 0.1860 0.6860 0.5000  6 Na 2.80-2.99
Pd: 0.3140 0.1860 0.5000  6 Na 2.80-2.99
Pd: 0.6860 0.8140 0.5000  6 Na 2.80-2.99
Pd: 0.8140 0.3140 0.5000  6 Na 2.80-2.99

Crystalline Na2CaPd2 at its relaxed geometry, computed with PBE.

Output
As for the excess energy over the best structure of this formula in the dataset: 45 meV/atom. The calculation puts the magnetization at 0.000 μB/f.u. Its energy of formation from the pure elements is -0.166 eV/atom.

Cell lengths 7.2666, 7.2666, 4.5968 Å; angles 90.00, 90.00, 90.00 degrees
With the nearest neighbours (Å) after each atom.
Positions (direct):
Na: 0.1560 0.3440 0.0000  6 Pd 3.10-3.18, 1 Na 3.21
Na: 0.3440 0.8440 0.0000  6 Pd 3.10-3.18, 1 Na 3.21
Na: 0.6560 0.1560 0.0000  6 Pd 3.10-3.18, 1 Na 3.21
Na: 0.8440 0.6560 0.0000  6 Pd 3.10-3.18, 1 Na 3.21
Ca: 0.0000 0.0000 0.5000  4 Pd 2.85
Ca: 0.5000 0.5000 0.5000  4 Pd 2.85
Pd: 0.1301 0.6301 0.5000  1 Pd 2.67, 2 Ca 2.85
Pd: 0.3699 0.1301 0.5000  1 Pd 2.67, 2 Ca 2.85
Pd: 0.6301 0.8699 0.5000  1 Pd 2.67, 2 Ca 2.85
Pd: 0.8699 0.3699 0.5000  1 Pd 2.67, 2 Ca 2.85